BaCo2Ni | PBE | relaxed

a = 4.591 Å, b = 3.940 Å, c = 5.006 Å
α = 90.00°, β = 90.30°, γ = 90.00°
Space group Pm (No. 6)
Asymmetric unit:
Ba  0.000  0.000  0.000 [1 per cell]
Co  0.260  0.500  0.501 [1 per cell]
Co  0.501  0.000  0.500 [1 per cell]
Ni  0.778  0.500  0.499 [1 per cell]

## Properties
ρ in g cm⁻³: 5.76
ΔE_f in eV/atom: 0.458
Energy above the most stable polymorph in this dataset in kJ/mol of formula units: 116